Below is an optimized crystal structure of ZnAgHgB2, with properties calculated at the PBE level.

## Properties
- spin magnetization (Bohr magnetons per cell) = 0.0
- final energy (eV for the cell shown) = -11.07
- Fermi-level density of states (states/eV/f.u.) = 1.85
- calculated formation energy (kJ/mol of atoms) = 129.5

Lattice parameters (Å, degrees): 4.143 4.143 5.441 90.00 90.00 90.00
Sites, in units of the cell vectors:
Zn 0.000 0.000 0.000
Ag 0.000 0.000 0.500
Hg 0.500 0.500 0.000
B 0.000 0.500 0.500
B 0.500 0.000 0.500

Below is an optimized crystal structure of PmSb4Au6, with properties calculated at the PBE level.

## Properties
- formation energy from raw total energies (eV/atom) = -0.17
- spin magnetization (Bohr magnetons per cell) = 0.0
- final energy (eV for the cell shown) = -85.47
- Fermi-level density of states (states/eV/f.u.) = 4.60

Lattice parameters (Å, degrees): 7.845 7.845 14.631 108.28 108.28 42.04
Sites, in units of the cell vectors:
Pm 0.220 0.780 0.500
Pm 0.780 0.220 0.000
Sb 0.123 0.931 0.272
Sb 0.142 0.611 0.933
Sb 0.533 0.846 0.084
Sb 0.556 0.886 0.846
Sb 0.611 0.142 0.433
Sb 0.846 0.533 0.584
Sb 0.886 0.556 0.346
Sb 0.931 0.123 0.772
Au 0.004 0.406 0.155
Au 0.005 0.412 0.772
Au 0.304 0.383 0.574
Au 0.322 0.790 0.905
Au 0.328 0.467 0.286
Au 0.383 0.304 0.074
Au 0.406 0.004 0.655
Au 0.412 0.005 0.272
Au 0.467 0.328 0.786
Au 0.790 0.322 0.405
Au 0.849 0.904 0.610
Au 0.904 0.849 0.110

Below is an optimized crystal structure of SrNiBPd2, with properties calculated at the PBE level.

## Properties
- spin magnetization (Bohr magnetons per cell) = 0.0
- final energy (eV for the cell shown) = -26.00
- Fermi-level density of states (states/eV/f.u.) = 4.39
- calculated formation energy (kJ/mol of atoms) = -28.4

Lattice parameters (Å, degrees): 4.431 4.431 4.078 90.00 90.00 90.00
Sites, in units of the cell vectors:
Sr 0.000 0.000 0.000
Ni 0.500 0.500 0.000
B 0.500 0.500 0.500
Pd 0.000 0.500 0.500
Pd 0.500 0.000 0.500

Below is an optimized crystal structure of CaYN2F, with properties calculated at the PBE level.

## Properties
- formation energy from raw total energies (eV/atom) = -0.64
- E above lowest polymorph (meV/atom) = 422
- spin magnetization (Bohr magnetons per cell) = 0.5
- final energy (eV for the cell shown) = -30.21
- Fermi-level density of states (states/eV/f.u.) = 1.19

Lattice parameters (Å, degrees): 4.302 4.302 4.115 90.00 90.00 90.00
Sites, in units of the cell vectors:
Ca 0.000 0.000 0.000
Y 0.500 0.500 0.500
N 0.000 0.500 0.000
N 0.500 0.000 0.000
F 0.000 0.000 0.500

Below is an optimized crystal structure of Tb2SmDy5Er, with properties calculated at the PBE level.

## Properties
- spin magnetization (Bohr magnetons per cell) = 0.0
- final energy (eV for the cell shown) = -77.80
- Fermi-level density of states (states/eV/f.u.) = 11.67
- calculated formation energy (kJ/mol of atoms) = 28.5

Lattice parameters (Å, degrees): 9.699 9.699 9.699 125.57 125.57 80.60
Sites, in units of the cell vectors:
Tb 0.113 0.613 0.727
Tb 0.387 0.113 0.500
Tb 0.613 0.887 0.500
Tb 0.887 0.387 0.273
Sm 0.250 0.250 0.000
Sm 0.750 0.750 0.000
Dy 0.000 0.000 0.000
Dy 0.072 0.160 0.500
Dy 0.160 0.660 0.087
Dy 0.340 0.428 0.500
Dy 0.428 0.928 0.087
Dy 0.500 0.500 0.000
Dy 0.572 0.072 0.913
Dy 0.660 0.572 0.500
Dy 0.840 0.340 0.913
Dy 0.928 0.840 0.500
Er 0.250 0.750 0.500
Er 0.750 0.250 0.500

Below is an optimized crystal structure of PmSmHoTm2, with properties calculated at the PBE level.

## Properties
- spin magnetization (Bohr magnetons per cell) = 0.0
- final energy (eV for the cell shown) = -42.44
- Fermi-level density of states (states/eV/f.u.) = 8.20
- calculated formation energy (kJ/mol of atoms) = 34.1

Lattice parameters (Å, degrees): 8.884 8.884 6.369 90.00 90.00 137.96
Sites, in units of the cell vectors:
Pm 0.157 0.843 0.750
Pm 0.843 0.157 0.250
Sm 0.343 0.657 0.750
Sm 0.657 0.343 0.250
Ho 0.250 0.750 0.250
Ho 0.750 0.250 0.750
Tm 0.250 0.250 0.000
Tm 0.250 0.250 0.500
Tm 0.750 0.750 0.000
Tm 0.750 0.750 0.500

Below is an optimized crystal structure of BiPbIN2, with properties calculated at the PBE level.

## Properties
- formation energy from raw total energies (eV/atom) = 1.63
- E above lowest polymorph (meV/atom) = 252
- spin magnetization (Bohr magnetons per cell) = 1.3
- final energy (eV for the cell shown) = -17.63
- Fermi-level density of states (states/eV/f.u.) = 4.16

Lattice parameters (Å, degrees): 4.683 4.683 6.354 90.00 90.00 90.00
Sites, in units of the cell vectors:
Bi 0.000 0.000 0.000
Pb 0.500 0.500 0.500
I 0.500 0.500 0.000
N 0.000 0.500 0.500
N 0.500 0.000 0.500

Below is an optimized crystal structure of As2Pb, with properties calculated at the PBE level.

## Properties
- E above lowest polymorph (meV/atom) = 206
- spin magnetization (Bohr magnetons per cell) = 0.0
- final energy (eV for the cell shown) = -24.47
- Fermi-level density of states (states/eV/f.u.) = 1.67
- calculated formation energy (kJ/mol of atoms) = 24.8

Lattice parameters (Å, degrees): 5.866 5.866 5.866 60.00 60.00 60.00
Sites, in units of the cell vectors:
As 0.000 0.000 0.000
As 0.000 0.000 0.500
As 0.000 0.500 0.000
As 0.500 0.000 0.000
Pb 0.375 0.375 0.375
Pb 0.625 0.625 0.625

Below is an optimized crystal structure of InRePb4, with properties calculated at the PBE level.

## Properties
- spin magnetization (Bohr magnetons per cell) = 3.4
- final energy (eV for the cell shown) = -23.69
- Fermi-level density of states (states/eV/f.u.) = 5.63
- calculated formation energy (kJ/mol of atoms) = 101.8

Lattice parameters (Å, degrees): 6.358 6.358 6.358 60.00 60.00 60.00
Sites, in units of the cell vectors:
In 0.000 0.000 0.000
Re 0.250 0.250 0.250
Pb 0.127 0.624 0.624
Pb 0.624 0.127 0.624
Pb 0.624 0.624 0.127
Pb 0.624 0.624 0.624

Below is an optimized crystal structure of LiReSN2, with properties calculated at the PBE level.

## Properties
- formation energy from raw total energies (eV/atom) = 1.86
- E above lowest polymorph (meV/atom) = 1855
- spin magnetization (Bohr magnetons per cell) = 0.5
- final energy (eV for the cell shown) = -25.82
- Fermi-level density of states (states/eV/f.u.) = 2.57

Lattice parameters (Å, degrees): 3.566 3.566 4.271 90.00 90.00 90.00
Sites, in units of the cell vectors:
Li 0.000 0.000 0.000
Re 0.500 0.500 0.500
S 0.000 0.000 0.500
N 0.000 0.500 0.000
N 0.500 0.000 0.000

Below is an optimized crystal structure of Cr2GeHPb, with properties calculated at the PBE level.

## Properties
- spin magnetization (Bohr magnetons per cell) = 8.0
- final energy (eV for the cell shown) = -28.03
- Fermi-level density of states (states/eV/f.u.) = 3.59

Lattice parameters (Å, degrees): 4.330 4.330 4.347 90.00 90.00 90.00
Sites, in units of the cell vectors:
Cr 0.000 0.500 0.000
Cr 0.500 0.000 0.000
Ge 0.000 0.000 0.500
H 0.000 0.000 0.000
Pb 0.500 0.500 0.500

Below is an optimized crystal structure of Tm2Al3Pd, with properties calculated at the PBE level.

## Properties
- spin magnetization (Bohr magnetons per cell) = 0.0
- final energy (eV for the cell shown) = -29.53
- Fermi-level density of states (states/eV/f.u.) = 2.47
- calculated formation energy (kJ/mol of atoms) = -66.9

Lattice parameters (Å, degrees): 5.400 5.400 5.400 61.48 61.48 61.48
Sites, in units of the cell vectors:
Tm 0.124 0.124 0.124
Tm 0.876 0.876 0.876
Al 0.000 0.500 0.500
Al 0.500 0.000 0.500
Al 0.500 0.500 0.000
Pd 0.500 0.500 0.500